# YErLuIn (PBE-GGA, relaxed)
# DOS(E_F): 24.880 states/eV per cell
# Space-group type: F-43m (216)
# Total DFT energy (no corrections): -4.714 eV/atom
# Calculated formation energy: -142 meV per atom
data_YErLuIn
_chemical_formula_sum 'Y4 Er4 Lu4 In4'
_cell_length_a 7.644
_cell_length_b 7.644
_cell_length_c 7.644
_cell_angle_alpha 90.00
_cell_angle_beta 90.00
_cell_angle_gamma 90.00
_space_group_name_H-M_alt 'P 1'
_space_group_IT_number 1
loop_
_space_group_symop_operation_xyz
'x,y,z'
loop_
_atom_site_label
_atom_site_type_symbol
_atom_site_fract_x
_atom_site_fract_y
_atom_site_fract_z
Y1 Y 0.000 0.000 0.000
Y2 Y 0.000 0.500 0.500
Y3 Y 0.500 0.000 0.500
Y4 Y 0.500 0.500 0.000
Er1 Er 0.000 0.000 0.500
Er2 Er 0.000 0.500 0.000
Er3 Er 0.500 0.000 0.000
Er4 Er 0.500 0.500 0.500
Lu1 Lu 0.250 0.250 0.750
Lu2 Lu 0.250 0.750 0.250
Lu3 Lu 0.750 0.250 0.250
Lu4 Lu 0.750 0.750 0.750
In1 In 0.250 0.250 0.250
In2 In 0.250 0.750 0.750
In3 In 0.750 0.250 0.750
In4 In 0.750 0.750 0.250

# AcPmHo2As4 (PBE-GGA, relaxed)
# DOS(E_F): 0.875 states/eV per cell
# Space-group type: P2/m (10)
# Total DFT energy (no corrections): -6.056 eV/atom
# Calculated formation energy: -1479 meV per atom
data_AcPmHo2As4
_chemical_formula_sum 'Ac1 Pm1 Ho2 As4'
_cell_length_a 7.360
_cell_length_b 4.253
_cell_length_c 7.369
_cell_angle_alpha 90.00
_cell_angle_beta 109.43
_cell_angle_gamma 90.00
_space_group_name_H-M_alt 'P 1'
_space_group_IT_number 1
loop_
_space_group_symop_operation_xyz
'x,y,z'
loop_
_atom_site_label
_atom_site_type_symbol
_atom_site_fract_x
_atom_site_fract_y
_atom_site_fract_z
Ac1 Ac 0.000 0.000 0.000
Pm1 Pm 0.000 0.500 0.500
Ho1 Ho 0.500 0.000 0.500
Ho2 Ho 0.500 0.500 0.000
As1 As 0.264 0.000 0.748
As2 As 0.269 0.500 0.264
As3 As 0.731 0.500 0.736
As4 As 0.736 0.000 0.252

# InBr2Cl (PBE-GGA, relaxed)
# DOS(E_F): 4.715 states/eV per cell
# Formation energy from raw total energies: -0.3880 eV per atom
# Excess energy over the best structure of this formula in the dataset: 522 meV per atom
# Space-group type: R3m (160)
# Total DFT energy (no corrections): -2.371 eV/atom
data_InBr2Cl
_chemical_formula_sum 'In3 Br6 Cl3'
_cell_length_a 4.167
_cell_length_b 4.167
_cell_length_c 23.206
_cell_angle_alpha 90.00
_cell_angle_beta 90.00
_cell_angle_gamma 120.00
_space_group_name_H-M_alt 'P 1'
_space_group_IT_number 1
loop_
_space_group_symop_operation_xyz
'x,y,z'
loop_
_atom_site_label
_atom_site_type_symbol
_atom_site_fract_x
_atom_site_fract_y
_atom_site_fract_z
In1 In 0.000 0.000 0.000
In2 In 0.333 0.667 0.667
In3 In 0.667 0.333 0.333
Br1 Br 0.000 0.000 0.490
Br2 Br 0.000 0.000 0.731
Br3 Br 0.333 0.667 0.157
Br4 Br 0.333 0.667 0.398
Br5 Br 0.667 0.333 0.064
Br6 Br 0.667 0.333 0.823
Cl1 Cl 0.000 0.000 0.273
Cl2 Cl 0.333 0.667 0.940
Cl3 Cl 0.667 0.333 0.607

- Number 2 is which compound?
  AcPmHo2As4

What did the first record say?
# YErLuIn (PBE-GGA, relaxed)
# DOS(E_F): 24.880 states/eV per cell
# Space-group type: F-43m (216)
# Total DFT energy (no corrections): -4.714 eV/atom
# Calculated formation energy: -142 meV per atom
data_YErLuIn
_chemical_formula_sum 'Y4 Er4 Lu4 In4'
_cell_length_a 7.644
_cell_length_b 7.644
_cell_length_c 7.644
_cell_angle_alpha 90.00
_cell_angle_beta 90.00
_cell_angle_gamma 90.00
_space_group_name_H-M_alt 'P 1'
_space_group_IT_number 1
loop_
_space_group_symop_operation_xyz
'x,y,z'
loop_
_atom_site_label
_atom_site_type_symbol
_atom_site_fract_x
_atom_site_fract_y
_atom_site_fract_z
Y1 Y 0.000 0.000 0.000
Y2 Y 0.000 0.500 0.500
Y3 Y 0.500 0.000 0.500
Y4 Y 0.500 0.500 0.000
Er1 Er 0.000 0.000 0.500
Er2 Er 0.000 0.500 0.000
Er3 Er 0.500 0.000 0.000
Er4 Er 0.500 0.500 0.500
Lu1 Lu 0.250 0.250 0.750
Lu2 Lu 0.250 0.750 0.250
Lu3 Lu 0.750 0.250 0.250
Lu4 Lu 0.750 0.750 0.750
In1 In 0.250 0.250 0.250
In2 In 0.250 0.750 0.750
In3 In 0.750 0.250 0.750
In4 In 0.750 0.750 0.250

- The highest DOS(E_F) belongs to which entry?
  YErLuIn

- Which value of total DFT energy (no corrections) does entry 3 give?
  -2.371 eV/atom